# 1
This record from Alexandria via LeMat-Bulk describes an optimized crystal structure of SiSe. The functional is PBE.

**Space group**: I4/m, No. 87
**VASP energy**: -35.0 eV for the cell shown

Cell: 8.042 8.042 8.042 Å, 92.80 92.80 154.44°
Element x y z (fractional)
Si1 0.118 0.216 0.334
Si2 0.216 0.882 0.099
Si3 0.784 0.118 0.901
Si4 0.882 0.784 0.666
Se1 0.136 0.665 0.801
Se2 0.335 0.136 0.472
Se3 0.665 0.864 0.528
Se4 0.864 0.335 0.199

=====

# 2
This record from Alexandria via LeMat-Bulk describes an optimized crystal structure of Ba3PtI2. The functional is PBE.

**Space group**: Immm, No. 71
**Energy above the lowest structure with this stoichiometry**: 0 meV/atom

Cell: 9.125 9.125 9.125 Å, 150.87 135.97 53.66°
Element x y z (fractional)
Ba1 0.000 0.000 0.000
Ba2 0.371 0.371 0.000
Ba3 0.629 0.629 0.000
Pt1 0.500 0.000 0.500
I1 0.187 0.687 0.500
I2 0.813 0.313 0.500

=====

# 3
This record from Alexandria via LeMat-Bulk describes an optimized crystal structure of SrLiTl2Re. The functional is PBE.

**Space group**: P4/mmm, No. 123
**Formation energy**: 1.859 eV per atom

Cell: 6.010 6.010 5.299 Å, 90.00 90.00 90.00°
Element x y z (fractional)
Sr1 0.000 0.000 0.000
Li1 0.000 0.000 0.500
Tl1 0.000 0.500 0.000
Tl2 0.500 0.000 0.000
Re1 0.500 0.500 0.500

=====

# 4
This record from Alexandria via LeMat-Bulk describes an optimized crystal structure of Sc3TlO. The functional is PBE.

**Space group**: P4mm, No. 99
**VASP energy**: -29.7 eV for the cell shown

Cell: 4.123 4.123 8.211 Å, 90.00 90.00 90.00°
Element x y z (fractional)
Sc1 0.000 0.000 0.000
Sc2 0.000 0.500 0.679
Sc3 0.500 0.000 0.679
Tl1 0.000 0.000 0.362
O1 0.500 0.500 0.644

=====

# 5
This record from Alexandria via LeMat-Bulk describes an optimized crystal structure of Sr2Ge2Pd. The functional is PBE.

**Space group**: C2/c, No. 15
**Formation energy**: -0.593 eV per atom

Cell: 6.043 6.043 8.163 Å, 99.68 99.68 60.34°
Element x y z (fractional)
Sr1 0.036 0.267 0.154
Sr2 0.267 0.036 0.654
Sr3 0.733 0.964 0.346
Sr4 0.964 0.733 0.846
Ge1 0.257 0.502 0.498
Ge2 0.498 0.743 0.002
Ge3 0.502 0.257 0.998
Ge4 0.743 0.498 0.502
Pd1 0.395 0.605 0.250
Pd2 0.605 0.395 0.750

=====

# 6
This record from Alexandria via LeMat-Bulk describes an optimized crystal structure of Dy4PuSe5. The functional is PBE.

**Space group**: C2/m, No. 12
**VASP energy**: -67.4 eV for the cell shown

Cell: 7.105 7.105 10.006 Å, 118.19 118.19 33.31°
Element x y z (fractional)
Dy1 0.099 0.099 0.397
Dy2 0.298 0.298 0.197
Dy3 0.702 0.702 0.803
Dy4 0.901 0.901 0.603
Pu1 0.500 0.500 0.000
Se1 0.101 0.101 0.898
Se2 0.297 0.297 0.696
Se3 0.500 0.500 0.500
Se4 0.703 0.703 0.304
Se5 0.899 0.899 0.102

=====

# 7
This record from Alexandria via LeMat-Bulk describes an optimized crystal structure of DyPu2ZrN4. The functional is PBE.

**Space group**: P2/m, No. 10
**VASP energy**: -87.1 eV for the cell shown

Cell: 5.906 3.419 5.936 Å, 90.00 109.44 90.00°
Element x y z (fractional)
Dy1 0.000 0.000 0.000
Pu1 0.500 0.000 0.500
Pu2 0.500 0.500 0.000
Zr1 0.000 0.500 0.500
N1 0.241 0.000 0.736
N2 0.248 0.500 0.262
N3 0.752 0.500 0.738
N4 0.759 0.000 0.264

=====

# 8
This record from Alexandria via LeMat-Bulk describes an optimized crystal structure of Pr2MnCo3As4. The functional is PBE.

**Space group**: P-4m2, No. 115
**Formation energy**: -0.700 eV per atom

Cell: 4.181 4.181 9.756 Å, 90.00 90.00 90.00°
Element x y z (fractional)
Pr1 0.000 0.500 0.241
Pr2 0.500 0.000 0.759
Mn1 0.000 0.000 0.500
Co1 0.000 0.500 0.888
Co2 0.500 0.000 0.112
Co3 0.500 0.500 0.500
As1 0.000 0.000 0.000
As2 0.000 0.500 0.641
As3 0.500 0.000 0.359
As4 0.500 0.500 0.000

=====

# 9
This record from Alexandria via LeMat-Bulk describes an optimized crystal structure of Pr5Ga2Cu2. The functional is PBE.

**Space group**: Cmce, No. 64
**Formation energy**: -0.247 eV per atom

Cell: 8.718 8.718 8.541 Å, 90.00 90.00 48.82°
Element x y z (fractional)
Pr1 0.000 0.000 0.000
Pr2 0.022 0.700 0.677
Pr3 0.200 0.522 0.177
Pr4 0.300 0.978 0.677
Pr5 0.478 0.800 0.177
Pr6 0.500 0.500 0.500
Pr7 0.522 0.200 0.823
Pr8 0.700 0.022 0.323
Pr9 0.800 0.478 0.823
Pr10 0.978 0.300 0.323
Ga1 0.205 0.205 0.000
Ga2 0.295 0.295 0.500
Ga3 0.705 0.705 0.500
Ga4 0.795 0.795 0.000
Cu1 0.115 0.885 0.388
Cu2 0.385 0.615 0.888
Cu3 0.615 0.385 0.112
Cu4 0.885 0.115 0.612

=====

# 10
This record from Alexandria via LeMat-Bulk describes an optimized crystal structure of Ag2BiBr5. The functional is PBE.

**Space group**: Cm, No. 8
**Energy above the lowest structure with this stoichiometry**: 41 meV/atom

Cell: 8.497 8.497 7.927 Å, 117.75 117.75 55.61°
Element x y z (fractional)
Ag1 0.000 0.000 0.000
Ag2 0.500 0.500 0.500
Bi1 0.458 0.458 0.959
Br1 0.239 0.748 0.739
Br2 0.242 0.750 0.251
Br3 0.253 0.253 0.757
Br4 0.748 0.239 0.739
Br5 0.750 0.242 0.251

=====

# 11
This record from Alexandria via LeMat-Bulk describes an optimized crystal structure of HfZn14Ag. The functional is PBE.

**Space group**: Amm2, No. 38
**Formation energy**: -0.024 eV per atom

Cell: 8.661 5.611 5.611 Å, 68.59 90.00 90.00°
Element x y z (fractional)
Hf1 0.000 0.000 0.000
Zn1 0.000 0.073 0.484
Zn2 0.000 0.484 0.073
Zn3 0.244 0.755 0.755
Zn4 0.256 0.257 0.690
Zn5 0.256 0.690 0.257
Zn6 0.257 0.195 0.195
Zn7 0.500 0.020 0.020
Zn8 0.500 0.085 0.515
Zn9 0.500 0.515 0.085
Zn10 0.500 0.583 0.583
Zn11 0.743 0.195 0.195
Zn12 0.744 0.257 0.690
Zn13 0.744 0.690 0.257
Zn14 0.756 0.755 0.755
Ag1 0.000 0.559 0.559

=====

# 12
This record from Alexandria via LeMat-Bulk describes an optimized crystal structure of AgRhC3. The functional is PBE.

**Space group**: Pm-3m, No. 221
**Formation energy**: 3.324 eV per atom
**Energy above the lowest structure with this stoichiometry**: 948 meV/atom

Cell: 4.045 4.045 4.045 Å, 90.00 90.00 90.00°
Element x y z (fractional)
Ag1 0.000 0.000 0.000
Rh1 0.500 0.500 0.500
C1 0.000 0.000 0.500
C2 0.000 0.500 0.000
C3 0.500 0.000 0.000